# La2CoBr GGA-PBE optimized geometry
# excess energy over the best structure of this formula in the dataset = 0.4319 eV/atom
# crystal system = monoclinic
# density of states at the Fermi level = 4.98 states/eV/f.u.
# raw formation energy = -0.399 eV per atom
# E = -20.2 eV per cell
data_La2CoBr
_chemical_formula_sum 'La2 Co1 Br1'
_space_group_name_H-M_alt 'P 1'
_space_group_IT_number 1
_cell_length_a 7.706
_cell_length_b 5.322
_cell_length_c 3.531
_cell_angle_alpha 84.77
_cell_angle_beta 70.60
_cell_angle_gamma 127.87
loop_
_space_group_symop_operation_xyz
'x,y,z'
loop_
_atom_site_label
_atom_site_type_symbol
_atom_site_fract_x
_atom_site_fract_y
_atom_site_fract_z
_atom_site_occupancy
Br1 Br 0.000 0.500 0.500 1
La1 La 0.000 0.000 0.000 1
La2 La 0.500 0.000 0.500 1
Co1 Co 0.500 0.500 0.000 1